Below is a crystal of YTa2Sb relaxed with PBEsol, with properties calculated at the SCAN level.

Cell and atoms, written as POSCAR:
```
YTa2Sb
1.0
-1.137 -2.822 0.707
4.216 -0.983 2.858
-2.290 2.239 4.148
Ta Sb Y
2 1 1
Direct
0.871 0.000 0.758
0.129 0.000 0.242
0.000 0.500 0.500
0.500 0.500 0.000
```

Values from the calculation:
Space-group type: P2/m, No. 10
E_form (uncorrected) (eV/atom): 0.1596

***

Below is a crystal of NiSnN3 relaxed with PBEsol, with properties calculated at the SCAN level.

Cell and atoms, written as POSCAR:
```
NiSnN3
1.0
-2.063 -1.460 -3.224
-2.768 -1.659 2.522
-2.205 3.449 -0.151
N Sn Ni
3 1 1
Direct
0.000 0.500 0.000
0.500 0.000 0.000
0.000 0.000 0.500
0.000 0.000 0.000
0.500 0.500 0.500
```

Values from the calculation:
Space-group type: Pm-3m, No. 221
E_form (uncorrected) (eV/atom): 1.9419

***

Below is a crystal of BaNiCl2 relaxed with PBEsol, with properties calculated at the SCAN level.

Cell and atoms, written as POSCAR:
```
BaNiCl2
1.0
3.758 0.000 0.000
1.879 4.947 0.030
1.879 1.706 4.644
Ba Cl Ni
1 2 1
Direct
0.000 0.500 0.500
0.817 0.183 0.183
0.183 0.817 0.817
0.500 0.000 0.000
```

Values from the calculation:
Space-group type: Immm, No. 71
E_form (uncorrected) (eV/atom): -1.1902

***

Below is a crystal of Pr5Te7WCl3O23 relaxed with PBEsol, with properties calculated at the SCAN level.

Cell and atoms, written as POSCAR:
```
Pr5Te7WCl3O23
1.0
7.653 0.000 -0.013
3.826 9.056 -0.006
2.223 0.000 18.155
O Te Pr Cl W
46 14 10 6 2
Direct
0.822 0.695 0.733
0.116 0.000 0.911
0.901 0.516 0.836
0.764 0.000 0.807
0.898 0.144 0.689
0.583 0.516 0.164
0.426 0.639 0.534
0.176 0.306 0.266
0.934 0.639 0.466
0.523 0.268 0.159
0.883 0.000 0.089
0.068 0.351 0.533
0.518 0.306 0.734
0.100 0.485 0.164
0.705 0.371 0.613
0.318 0.325 0.390
0.968 0.628 0.310
0.904 0.275 0.172
0.357 0.325 0.610
0.482 0.695 0.267
0.415 0.485 0.836
0.095 0.728 0.829
0.958 0.144 0.311
0.682 0.678 0.608
0.047 0.847 0.691
0.478 0.732 0.840
0.177 0.728 0.171
0.822 0.275 0.828
0.302 0.624 0.386
0.491 0.001 0.925
0.105 0.847 0.309
0.581 0.351 0.467
0.790 0.732 0.160
0.074 0.624 0.614
0.597 0.373 0.308
0.404 0.628 0.690
0.509 0.001 0.075
0.030 0.373 0.692
0.210 0.268 0.841
0.236 0.000 0.193
0.138 0.165 0.029
0.860 0.836 0.971
0.303 0.836 0.029
0.640 0.678 0.392
0.697 0.165 0.971
0.925 0.371 0.387
0.962 0.335 0.890
0.000 0.998 0.237
0.635 0.211 0.642
0.361 0.790 0.360
0.154 0.211 0.358
0.836 0.765 0.387
0.165 0.235 0.616
0.702 0.335 0.110
0.002 0.998 0.763
0.399 0.765 0.613
0.036 0.666 0.109
0.600 0.235 0.384
0.849 0.790 0.640
0.298 0.666 0.891
0.700 0.485 0.737
0.244 0.513 0.500
0.524 0.224 0.863
0.476 0.777 0.137
0.298 0.521 0.263
0.815 0.485 0.263
0.252 0.224 0.137
0.747 0.777 0.863
0.756 0.487 0.500
0.181 0.521 0.737
0.500 0.001 0.500
0.299 0.401 0.000
0.037 0.925 0.500
0.437 0.001 0.710
0.562 0.001 0.290
0.700 0.600 0.000
0.267 0.001 0.976
0.732 0.001 0.024
```

Values from the calculation:
Space-group type: C2, No. 5
E_form (uncorrected) (eV/atom): -2.1792

***

Below is a crystal of La2PH2 relaxed with PBEsol, with properties calculated at the SCAN level.

Cell and atoms, written as POSCAR:
```
La2PH2
1.0
3.739 0.000 0.000
0.000 3.739 0.000
-1.870 -1.870 6.229
La P H
2 1 2
Direct
0.370 0.370 0.740
0.630 0.630 0.260
0.000 0.000 0.000
0.250 0.750 0.500
0.750 0.250 0.500
```

Values from the calculation:
E (eV per cell): -108.795
Space-group type: I4/mmm, No. 139

***

Below is a crystal of TlZnI2 relaxed with PBEsol, with properties calculated at the SCAN level.

Cell and atoms, written as POSCAR:
```
TlZnI2
1.0
5.551 0.000 0.000
2.775 4.807 0.000
2.775 1.602 4.532
Zn Tl I
1 1 2
Direct
0.000 0.000 0.000
0.500 0.500 0.500
0.750 0.750 0.750
0.250 0.250 0.250
```

Values from the calculation:
Space-group type: Fm-3m, No. 225
E_form (uncorrected) (eV/atom): -0.0713